A geometry-optimized Lu2Ta4S3N3 structure, computed with GGA-PBE.

total magnetic moment	0.00	μB per atom
SG	No. 15
E_tot	-8.943	eV per atom
mass density	11771	kg/m3

Structure (extended XYZ):
```
24
Lattice="-1.337 5.057 2.500 -1.428 4.526 -3.329 -10.326 -6.288 0.733" Properties=species:S:1:pos:R:3 pbc="T T T"
Lu -2.346 3.681 0.197
Lu -5.567 2.847 0.323
Lu -7.524 0.447 -0.419
Lu -10.745 -0.386 -0.293
N -0.669 2.528 1.250
N -1.189 3.913 -1.724
N -6.782 2.275 -1.488
N -5.877 -0.881 -1.298
N -6.309 1.019 1.392
N -11.902 -0.618 1.629
S -4.446 4.893 -0.973
S -3.924 3.453 2.340
S -3.500 1.438 -0.673
S -9.591 1.857 0.577
S -9.167 -0.159 -2.436
S -8.645 -1.598 0.877
Ta -3.077 7.032 -0.084
Ta -1.218 0.572 0.376
Ta -6.697 5.941 -0.027
Ta -4.835 -0.502 0.629
Ta -8.256 3.797 -0.724
Ta -6.394 -2.646 -0.068
Ta -11.873 2.723 -0.472
Ta -10.014 -3.737 -0.011
```

***

A geometry-optimized NbBiPO structure, computed with GGA-PBE.

total magnetic moment	0.00	μB per atom
SG	No. 26
E_tot	-6.928	eV per atom
mass density	6655	kg/m3

Structure (extended XYZ):
```
8
Lattice="-1.242 0.200 3.155 -0.310 -7.139 0.330 6.663 -0.168 2.633" Properties=species:S:1:pos:R:3 pbc="T T T"
Bi 0.330 -2.155 0.267
Bi 3.538 -5.089 1.715
Nb 2.673 -0.507 2.913
Nb 5.740 -6.683 4.511
O 0.842 -6.499 2.571
O 4.433 -0.613 3.612
P 2.769 -2.320 1.237
P 5.986 -5.047 2.676
```

***

A geometry-optimized ReNiB structure, computed with GGA-PBE.

total magnetic moment	0.02	μB per atom
SG	No. 216
E_tot	-7.334	eV per atom
mass density	11001	kg/m3

Structure (extended XYZ):
```
3
Lattice="2.796 0.640 2.483 1.213 3.540 0.621 -0.750 1.711 3.302" Properties=species:S:1:pos:R:3 pbc="T T T"
B 0.814 1.473 1.601
Ni 2.443 4.418 4.804
Re 0.000 0.000 0.000
```

***

A geometry-optimized SnPdAu structure, computed with GGA-PBE.

SG	No. 186
E_tot	-4.382	eV per atom
mass density	12399	kg/m3

Structure (extended XYZ):
```
6
Lattice="4.727 0.000 0.000 -2.363 4.094 0.000 0.000 0.000 5.843" Properties=species:S:1:pos:R:3 pbc="T T T"
Au 2.363 1.365 1.427
Au 0.000 2.729 4.349
Pd 0.000 0.000 2.894
Pd 0.000 0.000 5.815
Sn 0.000 2.729 1.421
Sn 2.363 1.365 4.342
```

***

A geometry-optimized YEr2Co3Ni6 structure, computed with GGA-PBE.

formation energy from the elements	-319	meV per atom
total magnetic moment	0.39	μB per atom
SG	No. 166
E_tot	-6.179	eV per atom
mass density	9340	kg/m3

Structure (extended XYZ):
```
12
Lattice="-8.155 -1.489 2.173 -6.688 2.410 4.786 -8.040 2.964 0.090" Properties=species:S:1:pos:R:3 pbc="T T T"
Co -7.622 1.294 2.348
Co -11.441 1.942 3.525
Co -15.260 2.591 4.701
Er -3.194 0.542 0.984
Er -19.689 3.342 6.065
Ni -9.300 0.781 4.056
Ni -12.907 2.827 5.336
Ni -13.639 0.881 4.033
Ni -9.975 1.057 1.713
Ni -9.243 3.003 3.017
Ni -13.582 3.104 2.993
Y 0.000 0.000 0.000
```

***

A geometry-optimized LiMgAu2 structure, computed with GGA-PBE.

SG	No. 194
E_tot	-3.038	eV per atom
mass density	9708	kg/m3

Structure (extended XYZ):
```
8
Lattice="-4.189 -1.542 -0.223 3.385 -2.825 0.735 -0.857 1.131 8.287" Properties=species:S:1:pos:R:3 pbc="T T T"
Au -1.738 -1.873 0.803
Au -2.020 -1.500 3.534
Au 0.359 -1.735 5.266
Au 0.076 -1.362 7.997
Li 0.000 0.000 0.000
Li -0.428 0.565 4.144
Mg 0.646 -2.114 2.488
Mg -2.307 -1.121 6.312
```